Entry 1:
This record from the Alexandria database describes a PBEsol-optimized structure of MgBi2B. The functional is SCAN.

Cell and atoms, written as POSCAR:
```
MgBi2B
1.0
-1.2188 -2.1274 -4.3844
0.2781 -4.9870 -0.5352
-4.2036 -2.7228 -0.3880
Mg B Bi
1 1 2
Cartesian
-2.5722 -4.9186 -2.6538
0.0000 0.0000 0.0000
-1.2861 -2.4593 -1.3269
-3.8582 -7.3779 -3.9808
```

Size of the total moment = 0.000 μB per formula unit
Calculated formation energy = 916 meV/atom
DOS(E_F) = 1.8 states/eV per cell


Entry 2:
This record from the Alexandria database describes a PBEsol-optimized structure of MnBiB3. The functional is SCAN.

Cell and atoms, written as POSCAR:
```
MnBiB3
1.0
4.6056 0.0000 0.0000
0.0000 4.6056 0.0000
0.0000 0.0000 4.6056
B Mn Bi
3 1 1
Cartesian
0.0000 2.3028 0.0000
0.0000 0.0000 2.3028
2.3028 0.0000 0.0000
2.3028 2.3028 2.3028
0.0000 0.0000 0.0000
```

Size of the total moment = 4.547 μB per formula unit
Calculated formation energy = 2616 meV/atom
DOS(E_F) = 2.8 states/eV per cell


Entry 3:
This record from the Alexandria database describes a PBEsol-optimized structure of BiBN3. The functional is SCAN.

Cell and atoms, written as POSCAR:
```
BiBN3
1.0
4.3412 0.0000 0.0000
0.0000 4.3412 0.0000
0.0000 0.0000 4.3412
B Bi N
1 1 3
Cartesian
2.1706 2.1706 2.1706
0.0000 0.0000 0.0000
0.0000 2.1706 0.0000
0.0000 0.0000 2.1706
2.1706 0.0000 0.0000
```

Energy = -19.74 eV per atom
Size of the total moment = 3.287 μB per formula unit
DOS(E_F) = 2.6 states/eV per cell


Question: What is the formula in the third record?
Answer: BiBN3


Question: Which formula does entry 1 have?
Answer: MgBi2B


Question: Which of these has the highest size of the total moment?
Answer: MnBiB3


Question: Number 2 is which compound?
Answer: MnBiB3